# Ti2V2Pd (PBE, relaxed)
# Density of states at the Fermi level (states/eV/f.u.): 5.99
# E (eV per atom): -7.801
# V (A^3/atom): 15.64
# Formation enthalpy at 0 K (meV/atom): 43
data_Ti2V2Pd
_symmetry_space_group_name_H-M 'P 4/m b m'
_symmetry_Int_Tables_number 127
_symmetry_space_group_name_Hall '-P 4 2ab'
_cell_length_a 6.6466
_cell_length_b 6.6466
_cell_length_c 3.5400
_cell_angle_alpha 90.00
_cell_angle_beta 90.00
_cell_angle_gamma 90.00
loop_
_atom_site_label
_atom_site_type_symbol
_atom_site_fract_x
_atom_site_fract_y
_atom_site_fract_z
Ti1 Ti 0.1693 0.3307 0.0000
V1 V 0.1259 0.6259 0.5000
Pd1 Pd 0.0000 0.0000 0.5000